*1*
Entry from Alexandria: Dy3Y4Ho5 after structural relaxation (PBE).

Calculated values
For the density of states at the Fermi level, the calculation gives 20.15 states/eV per cell.

Lattice parameters (Å, degrees): 5.865 8.509 9.580 105.61 72.18 69.84
Sites, in units of the cell vectors:
Y  0.858  0.222  0.061
Y  0.142  0.778  0.939
Y  0.834  0.953  0.379
Y  0.166  0.047  0.621
Ho  0.374  0.052  0.200
Ho  0.626  0.948  0.800
Ho  0.787  0.540  0.886
Ho  0.500  0.500  0.500
Ho  0.213  0.460  0.114
Dy  0.524  0.686  0.267
Dy  0.000  0.500  0.500
Dy  0.476  0.314  0.733

---

*2*
Entry from Alexandria: Dy3Y4Ho5 after structural relaxation (PBE).

Calculated values
For the density of states at the Fermi level, the calculation gives 16.37 states/eV per cell.

Lattice parameters (Å, degrees): 7.095 11.207 12.772 151.29 56.32 129.28
Sites, in units of the cell vectors:
Dy  0.000  0.000  0.500
Dy  0.418  0.835  0.668
Dy  0.582  0.165  0.332
Y  0.168  0.335  0.168
Y  0.916  0.834  0.667
Y  0.084  0.166  0.333
Y  0.832  0.665  0.832
Ho  0.333  0.667  0.834
Ho  0.500  0.000  0.500
Ho  0.750  0.498  0.999
Ho  0.667  0.333  0.166
Ho  0.250  0.502  0.001

---

Which structure wins on stability? *2* wins.

---

*1*
Entry from Alexandria: Dy2Y3Ho2 after structural relaxation (PBE).

Calculated values
For the density of states at the Fermi level, the calculation gives 13.43 states/eV per cell.

Lattice parameters (Å, degrees): 3.536 13.013 5.470 77.88 90.00 114.05
Sites, in units of the cell vectors:
Y  0.329  0.553  0.724
Y  0.671  0.447  0.276
Y  0.000  0.000  0.000
Ho  0.738  0.158  0.421
Ho  0.262  0.842  0.579
Dy  0.575  0.717  0.141
Dy  0.425  0.283  0.859

---

*2*
Entry from Alexandria: Dy2Y3Ho2 after structural relaxation (PBE).

Calculated values
For the density of states at the Fermi level, the calculation gives 11.78 states/eV per cell.

Lattice parameters (Å, degrees): 3.491 8.552 8.862 118.75 101.36 90.00
Sites, in units of the cell vectors:
Y  0.788  0.198  0.576
Y  0.212  0.802  0.424
Y  0.000  0.500  0.000
Dy  0.854  0.678  0.708
Dy  0.146  0.322  0.292
Ho  0.435  0.092  0.870
Ho  0.565  0.908  0.130

---

Which structure wins on stability? *1* wins.

---

*1*
Entry from Alexandria: Dy6Y8Ho after structural relaxation (PBE).

Calculated values
For the density of states at the Fermi level, the calculation gives 23.98 states/eV per cell.

Lattice parameters (Å, degrees): 9.041 9.041 8.644 58.47 58.47 60.00
Sites, in units of the cell vectors:
Y  0.279  0.256  0.575
Y  0.744  0.110  0.425
Y  0.110  0.721  0.425
Y  0.423  0.423  0.731
Y  0.256  0.890  0.575
Y  0.577  0.577  0.269
Y  0.721  0.744  0.425
Y  0.890  0.279  0.575
Dy  0.889  0.459  0.878
Dy  0.541  0.226  0.122
Dy  0.226  0.111  0.122
Dy  0.111  0.541  0.122
Dy  0.459  0.774  0.878
Dy  0.774  0.889  0.878
Ho  0.000  0.000  0.000

---

*2*
Entry from Alexandria: Dy6Y8Ho after structural relaxation (PBE).

Calculated values
For the density of states at the Fermi level, the calculation gives 21.32 states/eV per cell.

Lattice parameters (Å, degrees): 9.711 9.711 8.150 53.43 53.43 60.00
Sites, in units of the cell vectors:
Dy  0.612  0.068  0.034
Dy  0.285  0.612  0.034
Dy  0.388  0.932  0.966
Dy  0.715  0.388  0.966
Dy  0.932  0.715  0.966
Dy  0.068  0.285  0.034
Ho  0.000  0.000  0.000
Y  0.412  0.412  0.763
Y  0.770  0.072  0.514
Y  0.928  0.356  0.486
Y  0.588  0.588  0.237
Y  0.644  0.770  0.514
Y  0.230  0.928  0.486
Y  0.072  0.644  0.514
Y  0.356  0.230  0.486

---

Which structure wins on stability? *1* wins.

---

*1*
Entry from Alexandria: DyY2Ho4 after structural relaxation (PBE).

Calculated values
For the density of states at the Fermi level, the calculation gives 23.91 states/eV per cell.

Lattice parameters (Å, degrees): 6.228 6.464 11.470 90.00 106.08 90.00
Sites, in units of the cell vectors:
Ho  0.026  0.750  0.857
Ho  0.974  0.250  0.143
Ho  0.864  0.250  0.557
Ho  0.346  0.499  0.713
Ho  0.136  0.750  0.443
Ho  0.654  0.501  0.287
Ho  0.654  0.999  0.287
Ho  0.346  0.001  0.713
Y  0.386  0.250  0.002
Y  0.614  0.750  0.998
Y  0.701  0.750  0.570
Y  0.299  0.250  0.430
Dy  0.169  0.750  0.160
Dy  0.831  0.250  0.840

---

*2*
Entry from Alexandria: DyY2Ho4 after structural relaxation (PBE).

Calculated values
For the density of states at the Fermi level, the calculation gives 12.11 states/eV per cell.

Lattice parameters (Å, degrees): 3.600 3.600 19.890 95.18 90.00 120.00
Sites, in units of the cell vectors:
Ho  0.905  0.810  0.951
Ho  0.429  0.857  0.525
Ho  0.524  0.047  0.810
Ho  0.001  0.001  0.238
Y  0.620  0.240  0.094
Y  0.715  0.429  0.382
Dy  0.809  0.618  0.668

---

Which structure wins on stability? *2* wins.

---

*1*
Entry from Alexandria: Dy4YHo2 after structural relaxation (PBE).

Calculated values
For the density of states at the Fermi level, the calculation gives 23.00 states/eV per cell.

Lattice parameters (Å, degrees): 9.865 8.418 8.414 138.06 97.35 95.36
Sites, in units of the cell vectors:
Ho  0.125  0.190  0.565
Ho  0.625  0.490  0.365
Ho  0.773  0.819  0.264
Ho  0.477  0.245  0.549
Dy  0.840  0.495  0.728
Dy  0.199  0.822  0.985
Dy  0.411  0.642  0.159
Dy  0.051  0.536  0.123
Dy  0.907  0.177  0.196
Dy  0.343  0.040  0.770
Dy  0.699  0.145  0.805
Dy  0.551  0.858  0.947
Y  0.271  0.435  0.380
Y  0.979  0.858  0.664

---

*2*
Entry from Alexandria: Dy4YHo2 after structural relaxation (PBE).

Calculated values
For the density of states at the Fermi level, the calculation gives 11.37 states/eV per cell.

Lattice parameters (Å, degrees): 3.522 9.382 8.528 121.75 78.06 112.07
Sites, in units of the cell vectors:
Dy  0.193  0.834  0.282
Dy  0.410  0.705  0.591
Dy  0.807  0.166  0.718
Dy  0.590  0.295  0.409
Ho  0.640  0.570  0.860
Ho  0.360  0.430  0.140
Y  0.000  0.000  0.000

---

Which structure wins on stability? *2* wins.

---

*1*
Entry from Alexandria: DyY7Ho3 after structural relaxation (PBE).

Calculated values
For the density of states at the Fermi level, the calculation gives 19.72 states/eV per cell.

Lattice parameters (Å, degrees): 8.865 9.990 5.535 89.99 128.65 105.62
Sites, in units of the cell vectors:
Y  0.645  0.289  0.146
Y  0.084  0.170  0.083
Y  0.916  0.830  0.917
Y  0.355  0.711  0.854
Y  0.819  0.638  0.320
Y  0.181  0.362  0.680
Y  0.500  0.000  0.500
Dy  0.500  0.500  0.500
Ho  0.000  0.500  0.000
Ho  0.221  0.000  0.721
Ho  0.779  0.000  0.279

---

*2*
Entry from Alexandria: DyY7Ho3 after structural relaxation (PBE).

Calculated values
For the density of states at the Fermi level, the calculation gives 18.55 states/eV per cell.

Lattice parameters (Å, degrees): 8.583 7.072 7.072 120.00 90.00 90.00
Sites, in units of the cell vectors:
Y  0.116  0.664  0.832
Y  0.451  0.832  0.665
Y  0.116  0.168  0.832
Y  0.451  0.335  0.168
Y  0.118  0.667  0.333
Y  0.451  0.832  0.168
Y  0.116  0.168  0.336
Ho  0.783  0.001  0.500
Ho  0.783  0.500  0.500
Ho  0.783  0.500  0.999
Dy  0.448  0.333  0.667

---

Which structure wins on stability? *1* wins.